Model a:
CdInPO: optimized geometry, PBE.

CIF file:
```
data_CdInPO
_cell_length_a 4.0723
_cell_length_b 6.5953
_cell_length_c 6.2188
_cell_angle_alpha 90.00
_cell_angle_beta 90.00
_cell_angle_gamma 90.00
_symmetry_space_group_name_H-M 'P m c 21'
_symmetry_Int_Tables_number 26
loop_
_symmetry_equiv_pos_as_xyz
'x,y,z'
'-x,-y,z+1/2'
'-x,y,z'
'x,-y,z+1/2'
loop_
_atom_site_label
_atom_site_type_symbol
_atom_site_fract_x
_atom_site_fract_y
_atom_site_fract_z
Cd1 Cd 0.0000 0.1891 0.0000
In1 In 0.5000 0.3560 0.5563
P1 P 0.0000 0.1890 0.4100
O1 O 0.5000 0.3499 0.9027
```


Model b:
CdInPO: optimized geometry, PBE.

CIF file:
```
data_CdInPO
_cell_length_a 3.9527
_cell_length_b 6.5161
_cell_length_c 6.3980
_cell_angle_alpha 90.00
_cell_angle_beta 90.00
_cell_angle_gamma 90.00
_symmetry_space_group_name_H-M 'P m c 21'
_symmetry_Int_Tables_number 26
loop_
_symmetry_equiv_pos_as_xyz
'x,y,z'
'-x,-y,z+1/2'
'-x,y,z'
'x,-y,z+1/2'
loop_
_atom_site_label
_atom_site_type_symbol
_atom_site_fract_x
_atom_site_fract_y
_atom_site_fract_z
Cd1 Cd 0.0000 0.1426 0.0000
In1 In 0.5000 0.3202 0.4350
P1 P 0.5000 0.3075 0.8290
O1 O 0.0000 0.1807 0.3533
```


Which of them is least stable? Easy: model b.


Model a:
PrCdInSe3: optimized geometry, PBE.

CIF file:
```
data_PrCdInSe3
_cell_length_a 18.0054
_cell_length_b 4.2980
_cell_length_c 9.4615
_cell_angle_alpha 90.00
_cell_angle_beta 105.84
_cell_angle_gamma 90.00
_symmetry_space_group_name_H-M 'C 1 2/m 1'
_symmetry_Int_Tables_number 12
loop_
_symmetry_equiv_pos_as_xyz
'x,y,z'
'-x,-y,-z'
'-x,y,-z'
'x,-y,z'
'x+1/2,y+1/2,z'
'-x+1/2,-y+1/2,-z'
'-x+1/2,y+1/2,-z'
'x+1/2,-y+1/2,z'
loop_
_atom_site_label
_atom_site_type_symbol
_atom_site_fract_x
_atom_site_fract_y
_atom_site_fract_z
Pr1 Pr 0.1761 0.0000 0.1061
Cd1 Cd 0.0078 0.5000 0.2125
In1 In 0.1334 0.0000 0.5691
Se1 Se 0.0000 0.0000 0.0000
Se2 Se 0.0000 0.5000 0.5000
Se3 Se 0.1583 0.5000 0.8742
Se4 Se 0.1659 0.5000 0.3125
```


Model b:
PrCdInSe3: optimized geometry, PBE.

CIF file:
```
data_PrCdInSe3
_cell_length_a 14.4428
_cell_length_b 4.3503
_cell_length_c 11.6638
_cell_angle_alpha 90.00
_cell_angle_beta 90.00
_cell_angle_gamma 90.00
_symmetry_space_group_name_H-M 'P n m a'
_symmetry_Int_Tables_number 62
loop_
_symmetry_equiv_pos_as_xyz
'x,y,z'
'-x,-y,-z'
'-x+1/2,-y,z+1/2'
'x+1/2,y,-z+1/2'
'x+1/2,-y+1/2,-z+1/2'
'-x+1/2,y+1/2,z+1/2'
'-x,y+1/2,-z'
'x,-y+1/2,z'
loop_
_atom_site_label
_atom_site_type_symbol
_atom_site_fract_x
_atom_site_fract_y
_atom_site_fract_z
Pr1 Pr 0.0296 0.2500 0.1563
Cd1 Cd 0.0241 0.7500 0.3986
In1 In 0.2476 0.2500 0.4624
Se1 Se 0.0884 0.7500 0.6203
Se2 Se 0.1021 0.2500 0.9208
Se3 Se 0.1550 0.7500 0.2369
```


Model c:
PrCdInSe3: optimized geometry, PBE.

CIF file:
```
data_PrCdInSe3
_cell_length_a 8.3481
_cell_length_b 4.5196
_cell_length_c 17.5814
_cell_angle_alpha 90.00
_cell_angle_beta 90.00
_cell_angle_gamma 90.00
_symmetry_space_group_name_H-M 'P n m a'
_symmetry_Int_Tables_number 62
loop_
_symmetry_equiv_pos_as_xyz
'x,y,z'
'-x,-y,-z'
'-x+1/2,-y,z+1/2'
'x+1/2,y,-z+1/2'
'x+1/2,-y+1/2,-z+1/2'
'-x+1/2,y+1/2,z+1/2'
'-x,y+1/2,-z'
'x,-y+1/2,z'
loop_
_atom_site_label
_atom_site_type_symbol
_atom_site_fract_x
_atom_site_fract_y
_atom_site_fract_z
Pr1 Pr 0.2331 0.2500 0.0405
Cd1 Cd 0.0974 0.2500 0.3459
In1 In 0.0534 0.2500 0.7965
Se1 Se 0.0066 0.2500 0.5810
Se2 Se 0.1267 0.7500 0.9411
Se3 Se 0.2330 0.2500 0.2096
```


Which of them is least stable? Easy: model a.


Model a:
PrCdInSe3: optimized geometry, PBE.

CIF file:
```
data_PrCdInSe3
_cell_length_a 8.2097
_cell_length_b 4.3543
_cell_length_c 10.7335
_cell_angle_alpha 90.00
_cell_angle_beta 104.96
_cell_angle_gamma 90.00
_symmetry_space_group_name_H-M 'P 1 21/m 1'
_symmetry_Int_Tables_number 11
loop_
_symmetry_equiv_pos_as_xyz
'x,y,z'
'-x,-y,-z'
'-x,y+1/2,-z'
'x,-y+1/2,z'
loop_
_atom_site_label
_atom_site_type_symbol
_atom_site_fract_x
_atom_site_fract_y
_atom_site_fract_z
Pr1 Pr 0.2045 0.2500 0.1303
Cd1 Cd 0.4280 0.7500 0.3878
In1 In 0.2252 0.7500 0.7186
Se1 Se 0.0431 0.2500 0.8523
Se2 Se 0.2574 0.2500 0.4351
Se3 Se 0.4583 0.7500 0.1479
```


Model b:
PrCdInSe3: optimized geometry, PBE.

CIF file:
```
data_PrCdInSe3
_cell_length_a 4.3394
_cell_length_b 14.4111
_cell_length_c 11.4401
_cell_angle_alpha 90.00
_cell_angle_beta 90.00
_cell_angle_gamma 90.00
_symmetry_space_group_name_H-M 'C m c m'
_symmetry_Int_Tables_number 63
_symmetry_space_group_name_Hall '-C 2c 2'
loop_
_atom_site_label
_atom_site_type_symbol
_atom_site_fract_x
_atom_site_fract_y
_atom_site_fract_z
Pr1 Pr 0.0000 0.0000 0.0000
Cd1 Cd 0.0000 0.4618 0.2500
In1 In 0.0000 0.2501 0.7500
Se1 Se 0.0000 0.0769 0.2500
Se2 Se 0.0000 0.3626 0.0570
```


Which of them is least stable? Easy: model a.


Model a:
Sc2CdIn: optimized geometry, PBE.

CIF file:
```
data_Sc2CdIn
_cell_length_a 4.9995
_cell_length_b 15.0006
_cell_length_c 7.0693
_cell_angle_alpha 90.00
_cell_angle_beta 90.00
_cell_angle_gamma 90.00
_symmetry_space_group_name_H-M 'P n n m'
_symmetry_Int_Tables_number 58
loop_
_symmetry_equiv_pos_as_xyz
'x,y,z'
'-x,-y,-z'
'-x,-y,z'
'x,y,-z'
'x+1/2,-y+1/2,-z+1/2'
'-x+1/2,y+1/2,z+1/2'
'-x+1/2,y+1/2,-z+1/2'
'x+1/2,-y+1/2,z+1/2'
loop_
_atom_site_label
_atom_site_type_symbol
_atom_site_fract_x
_atom_site_fract_y
_atom_site_fract_z
Sc1 Sc 0.0000 0.0000 0.2500
Sc2 Sc 0.0000 0.3333 0.2500
Cd1 Cd 0.0000 0.5000 0.0000
Cd2 Cd 0.0011 0.1667 0.0000
In1 In 0.0000 0.5000 0.5000
In2 In 0.0006 0.8333 0.5000
```


Model b:
Sc2CdIn: optimized geometry, PBE.

CIF file:
```
data_Sc2CdIn
_cell_length_a 4.8700
_cell_length_b 4.8700
_cell_length_c 9.4244
_cell_angle_alpha 90.00
_cell_angle_beta 90.00
_cell_angle_gamma 120.00
_symmetry_space_group_name_H-M 'P 63/m m c'
_symmetry_Int_Tables_number 194
_symmetry_space_group_name_Hall '-P 6c 2c'
loop_
_atom_site_label
_atom_site_type_symbol
_atom_site_fract_x
_atom_site_fract_y
_atom_site_fract_z
Sc1 Sc 0.3333 0.6667 0.0894
Cd1 Cd 0.0000 0.0000 0.2500
In1 In 0.3333 0.6667 0.7500
```


Which of them is least stable? Easy: model b.


Model a:
Sc2CdIn: optimized geometry, PBE.

CIF file:
```
data_Sc2CdIn
_cell_length_a 5.0100
_cell_length_b 5.0100
_cell_length_c 3.5536
_cell_angle_alpha 90.00
_cell_angle_beta 90.00
_cell_angle_gamma 90.00
_symmetry_space_group_name_H-M 'P 4/m m m'
_symmetry_Int_Tables_number 123
_symmetry_space_group_name_Hall '-P 4 2'
loop_
_atom_site_label
_atom_site_type_symbol
_atom_site_fract_x
_atom_site_fract_y
_atom_site_fract_z
Sc1 Sc 0.0000 0.5000 0.0000
Cd1 Cd 0.0000 0.0000 0.5000
In1 In 0.5000 0.5000 0.5000
```


Model b:
Sc2CdIn: optimized geometry, PBE.

CIF file:
```
data_Sc2CdIn
_cell_length_a 4.9607
_cell_length_b 4.9607
_cell_length_c 9.3800
_cell_angle_alpha 90.00
_cell_angle_beta 90.00
_cell_angle_gamma 120.00
_symmetry_space_group_name_H-M 'P 63/m m c'
_symmetry_Int_Tables_number 194
_symmetry_space_group_name_Hall '-P 6c 2c'
loop_
_atom_site_label
_atom_site_type_symbol
_atom_site_fract_x
_atom_site_fract_y
_atom_site_fract_z
Sc1 Sc 0.3333 0.6667 0.0856
Cd1 Cd 0.0000 0.0000 0.0000
In1 In 0.3333 0.6667 0.7500
```


Which of them is least stable? Easy: model b.


Model a:
Sc2CdIn: optimized geometry, PBE.

CIF file:
```
data_Sc2CdIn
_cell_length_a 7.0687
_cell_length_b 7.0687
_cell_length_c 7.0687
_cell_angle_alpha 90.00
_cell_angle_beta 90.00
_cell_angle_gamma 90.00
_symmetry_space_group_name_H-M 'F m -3 m'
_symmetry_Int_Tables_number 225
_symmetry_space_group_name_Hall '-F 4 2 3'
loop_
_atom_site_label
_atom_site_type_symbol
_atom_site_fract_x
_atom_site_fract_y
_atom_site_fract_z
Sc1 Sc 0.2500 0.2500 0.2500
Cd1 Cd 0.0000 0.0000 0.0000
In1 In 0.0000 0.0000 0.5000
```


Model b:
Sc2CdIn: optimized geometry, PBE.

CIF file:
```
data_Sc2CdIn
_cell_length_a 4.9725
_cell_length_b 4.9725
_cell_length_c 9.4723
_cell_angle_alpha 90.00
_cell_angle_beta 90.00
_cell_angle_gamma 120.00
_symmetry_space_group_name_H-M 'P 63/m m c'
_symmetry_Int_Tables_number 194
_symmetry_space_group_name_Hall '-P 6c 2c'
loop_
_atom_site_label
_atom_site_type_symbol
_atom_site_fract_x
_atom_site_fract_y
_atom_site_fract_z
Sc1 Sc 0.3333 0.6667 0.0852
Cd1 Cd 0.3333 0.6667 0.7500
In1 In 0.0000 0.0000 0.0000
```


Which of them is least stable? Easy: model b.